# 1
Here is a relaxed structure of NaIrI2N from the Alexandria database. Energies are from PBE.

```
data_NaIrI2N
_chemical_formula_sum 'Na1 Ir1 I2 N1'
_cell_length_a 5.779
_cell_length_b 5.779
_cell_length_c 3.747
_cell_angle_alpha 90.00
_cell_angle_beta 90.00
_cell_angle_gamma 90.00
_space_group_name_H-M_alt 'P 1'
_space_group_IT_number 1
_space_group_name_Hall 'P 1'
loop_
_atom_site_label
_atom_site_type_symbol
_atom_site_fract_x
_atom_site_fract_y
_atom_site_fract_z
Na1 Na 0.000 0.000 0.000
Ir1 Ir 0.500 0.500 0.500
I1 I 0.000 0.500 0.500
I2 I 0.500 0.000 0.500
N1 N 0.500 0.500 0.000
```

- E (eV per atom) = -4.41

***

# 2
Here is a relaxed structure of Nd2PuVN4 from the Alexandria database. Energies are from PBE.

```
data_Nd2PuVN4
_chemical_formula_sum 'Nd4 Pu2 V2 N8'
_cell_length_a 6.187
_cell_length_b 6.187
_cell_length_c 12.276
_cell_angle_alpha 90.00
_cell_angle_beta 90.00
_cell_angle_gamma 147.69
_space_group_name_H-M_alt 'P 1'
_space_group_IT_number 1
_space_group_name_Hall 'P 1'
loop_
_atom_site_label
_atom_site_type_symbol
_atom_site_fract_x
_atom_site_fract_y
_atom_site_fract_z
Nd1 Nd 0.132 0.868 0.541
Nd2 Nd 0.132 0.868 0.959
Nd3 Nd 0.868 0.132 0.041
Nd4 Nd 0.868 0.132 0.459
Pu1 Pu 0.403 0.597 0.750
Pu2 Pu 0.597 0.403 0.250
V1 V 0.328 0.672 0.250
V2 V 0.672 0.328 0.750
N1 N 0.085 0.915 0.750
N2 N 0.229 0.771 0.137
N3 N 0.229 0.771 0.363
N4 N 0.500 0.500 0.000
N5 N 0.500 0.500 0.500
N6 N 0.771 0.229 0.637
N7 N 0.771 0.229 0.863
N8 N 0.915 0.085 0.250
```

- E (eV per atom) = -9.35

***

# 3
Here is a relaxed structure of Ac2InTe from the Alexandria database. Energies are from PBE.

```
data_Ac2InTe
_chemical_formula_sum 'Ac2 In1 Te1'
_cell_length_a 8.910
_cell_length_b 8.910
_cell_length_c 8.910
_cell_angle_alpha 29.91
_cell_angle_beta 29.91
_cell_angle_gamma 29.91
_space_group_name_H-M_alt 'P 1'
_space_group_IT_number 1
_space_group_name_Hall 'P 1'
loop_
_atom_site_label
_atom_site_type_symbol
_atom_site_fract_x
_atom_site_fract_y
_atom_site_fract_z
Ac1 Ac 0.249 0.249 0.249
Ac2 Ac 0.751 0.751 0.751
In1 In 0.000 0.000 0.000
Te1 Te 0.500 0.500 0.500
```

- E (eV per atom) = -4.42

***

# 4
Here is a relaxed structure of ZnCoTc from the Alexandria database. Energies are from PBE.

```
data_ZnCoTc
_chemical_formula_sum 'Zn2 Co2 Tc2'
_cell_length_a 11.750
_cell_length_b 11.750
_cell_length_c 11.750
_cell_angle_alpha 167.04
_cell_angle_beta 167.04
_cell_angle_gamma 18.37
_space_group_name_H-M_alt 'P 1'
_space_group_IT_number 1
_space_group_name_Hall 'P 1'
loop_
_atom_site_label
_atom_site_type_symbol
_atom_site_fract_x
_atom_site_fract_y
_atom_site_fract_z
Zn1 Zn 0.056 0.056 0.000
Zn2 Zn 0.944 0.944 0.000
Co1 Co 0.368 0.368 0.000
Co2 Co 0.632 0.632 0.000
Tc1 Tc 0.203 0.203 0.000
Tc2 Tc 0.797 0.797 0.000
```

- E (eV per atom) = -6.24